(i)
{"formula": "HfCoI2O", "functional": "PBE+U", "state": "optimized geometry", "lattice_angstrom": [[-5.422, -1.092, -1.856], [-1.016, -3.136, 4.813], [-1.291, 3.261, 1.852]], "species": ["I", "I", "Co", "Hf", "O"], "frac_coords": [[0.000, 0.500, 0.000], [0.500, 0.000, 0.000], [0.500, 0.500, 0.500], [0.000, 0.000, 0.000], [0.000, 0.000, 0.500]]}

(ii)
{"formula": "HfCoI2O", "functional": "PBE+U", "state": "optimized geometry", "lattice_angstrom": [[-1.686, 4.243, -3.257], [-2.860, -3.601, -3.211], [-2.862, 0.441, 2.055]], "species": ["I", "I", "Co", "Hf", "O"], "frac_coords": [[0.000, 0.500, 0.000], [0.500, 0.000, 0.000], [0.000, 0.000, 0.000], [0.500, 0.500, 0.500], [0.000, 0.000, 0.500]]}

Order of stability, best first: (i), (ii)